# 1
An optimized crystal structure of Tb5GaRu. Source: Alexandria, functional PBE-GGA.

Output
space-group type	No. 15
energy relative to the elements	-1.21	eV per formula unit
mass density	8.4	g cm⁻³
total DFT energy (no corrections)	-5.24	eV/atom

Geometry as extended XYZ:
```
14
Lattice="4.701 -3.673 0.000 4.701 3.673 0.000 -3.372 0.000 11.073" Properties=species:S:1:pos:R:3 pbc="T T T"
Tb 2.172 3.550 8.305
Tb 1.965 1.220 1.420
Tb 2.079 1.227 4.889
Tb 0.279 -1.220 6.957
Tb 5.637 1.227 0.648
Tb 0.393 -1.227 10.425
Tb 5.751 1.220 4.116
Tb 3.951 -1.227 6.185
Tb 4.065 -1.220 9.653
Tb 3.858 -3.550 2.768
Ga 2.172 0.594 8.305
Ga 3.858 -0.594 2.768
Ru 0.000 0.000 0.000
Ru -1.686 0.000 5.537
```



# 2
An optimized crystal structure of SmHoSi. Source: Alexandria, functional PBE-GGA.

Output
space-group type	No. 107
formation energy without anion corrections	-0.304	eV per atom
mass density	7.9	g cm⁻³
total DFT energy (no corrections)	-5.21	eV/atom

Geometry as extended XYZ:
```
3
Lattice="-1.934 1.934 4.847 1.934 -1.934 4.847 1.934 1.934 -4.847" Properties=species:S:1:pos:R:3 pbc="T T T"
Sm 0.000 0.000 0.000
Ho 0.000 0.000 6.806
Si 0.000 0.000 3.299
```



# 3
An optimized crystal structure of Ac4Si6Ir7. Source: Alexandria, functional PBE-GGA.

Output
space-group type	No. 229
formation energy without anion corrections	-0.706	eV per atom
mass density	12.0	g cm⁻³
total DFT energy (no corrections)	-7.24	eV/atom

Geometry as extended XYZ:
```
17
Lattice="-4.370 4.370 4.370 4.370 -4.370 4.370 4.370 4.370 -4.370" Properties=species:S:1:pos:R:3 pbc="T T T"
Ac 2.185 2.185 -2.185
Ac 2.185 -2.185 2.185
Ac -2.185 2.185 2.185
Ac 2.185 2.185 2.185
Si 3.030 0.000 0.000
Si 5.710 0.000 0.000
Si 0.000 3.030 0.000
Si 0.000 0.000 3.030
Si 0.000 5.710 0.000
Si 0.000 0.000 5.710
Ir 0.000 0.000 0.000
Ir 4.370 2.185 0.000
Ir 4.370 0.000 2.185
Ir 2.185 4.370 0.000
Ir 2.185 0.000 4.370
Ir 0.000 4.370 2.185
Ir 0.000 2.185 4.370
```



# 4
An optimized crystal structure of Pr2NdDy4Er. Source: Alexandria, functional PBE-GGA.

Output
space-group type	No. 47
energy relative to the elements	0.16	eV per formula unit
mass density	7.8	g cm⁻³
total DFT energy (no corrections)	-4.64	eV/atom

Geometry as extended XYZ:
```
8
Lattice="5.093 0.000 0.000 0.000 5.114 0.000 0.000 0.000 10.113" Properties=species:S:1:pos:R:3 pbc="T T T"
Pr 0.000 0.000 0.000
Pr 2.546 2.557 5.056
Nd 0.000 0.000 5.056
Dy 0.000 2.557 2.501
Dy 0.000 2.557 7.612
Dy 2.546 0.000 2.504
Dy 2.546 0.000 7.609
Er 2.546 2.557 0.000
```



# 5
An optimized crystal structure of LaTlNi3. Source: Alexandria, functional PBE-GGA.

Output
space-group type	No. 221
energy relative to the elements	5.06	eV per formula unit
mass density	7.7	g cm⁻³
total DFT energy (no corrections)	-3.92	eV/atom

Geometry as extended XYZ:
```
5
Lattice="4.828 0.000 0.000 0.000 4.828 0.000 0.000 0.000 4.828" Properties=species:S:1:pos:R:3 pbc="T T T"
La 0.000 0.000 0.000
Tl 2.414 2.414 2.414
Ni 0.000 0.000 2.414
Ni 0.000 2.414 0.000
Ni 2.414 0.000 0.000
```



# 6
An optimized crystal structure of PtPb2. Source: Alexandria, functional PBE-GGA.

Output
space-group type	No. 8
energy relative to the elements	-0.19	eV per formula unit
mass density	13.2	g cm⁻³
total DFT energy (no corrections)	-4.55	eV/atom

Geometry as extended XYZ:
```
6
Lattice="5.388 -1.787 0.000 5.388 1.787 0.000 -1.221 0.000 7.957" Properties=species:S:1:pos:R:3 pbc="T T T"
Pt 0.000 0.000 0.000
Pt 6.785 0.000 1.786
Pb 1.863 0.000 4.044
Pb 1.767 0.000 7.843
Pb 4.721 0.000 5.802
Pb 9.743 0.000 2.610
```



> mass density of number 5 (LaTlNi3)?

7.7 g cm⁻³